SrCaNO2 | the Alexandria database | PBE | relaxed; energy relative to the elements, uncorrected = -0.41 eV per atom; magnetization = 1.68 μB/f.u.; calculated volume = 19.920 Å³ per atom; DFT total energy = -24.0 eV for the cell shown
1.0
-3.771 -1.403 2.241
2.415 -0.239 3.914
-1.098 4.466 0.950
N Sr O Ca
1 1 2 1
direct
0.000 0.000 0.500
0.000 0.000 0.000
0.500 0.000 0.000
0.000 0.500 0.000
0.500 0.500 0.500

***

Sr2CaTi6N2O11 | the Alexandria database | PBE | relaxed; energy relative to the elements, uncorrected = -2.71 eV per atom; magnetization = 0.00 μB/f.u.; ΔE to the lowest computed polymorph = 0.009 eV/atom; calculated volume = 12.450 Å³ per atom; DFT total energy = -183.5 eV for the cell shown
1.0
1.940 7.185 0.165
-1.940 7.185 0.165
0.000 2.250 9.879
O Sr N Ca Ti
11 2 2 1 6
direct
0.367 0.367 0.088
0.158 0.158 0.093
0.043 0.043 0.660
0.302 0.302 0.407
0.117 0.117 0.381
0.757 0.757 0.225
0.629 0.629 0.888
0.686 0.686 0.547
0.948 0.948 0.281
0.873 0.873 0.565
0.000 0.000 0.981
0.500 0.500 0.475
0.470 0.470 0.813
0.231 0.231 0.729
0.836 0.836 0.876
0.523 0.523 0.130
0.860 0.860 0.044
0.771 0.771 0.730
0.827 0.827 0.391
0.225 0.225 0.244
0.143 0.143 0.916
0.170 0.170 0.574

***

Sr2CaTi6N2O11 | the Alexandria database | PBE | relaxed; energy relative to the elements, uncorrected = -2.71 eV per atom; magnetization = 0.00 μB/f.u.; ΔE to the lowest computed polymorph = 0.004 eV/atom; calculated volume = 12.427 Å³ per atom; DFT total energy = -183.6 eV for the cell shown
1.0
1.937 7.178 0.015
-1.937 7.178 0.015
0.000 2.419 9.834
N O Ca Ti Sr
2 11 1 6 2
direct
0.237 0.237 0.765
0.847 0.847 0.910
0.300 0.300 0.449
0.875 0.875 0.604
0.045 0.045 0.711
0.635 0.635 0.920
0.371 0.371 0.123
0.758 0.758 0.261
0.116 0.116 0.417
0.945 0.945 0.324
0.167 0.167 0.124
0.005 0.005 0.017
0.684 0.684 0.587
0.479 0.479 0.870
0.228 0.228 0.286
0.171 0.171 0.617
0.826 0.826 0.430
0.147 0.147 0.950
0.778 0.778 0.771
0.866 0.866 0.082
0.537 0.537 0.187
0.496 0.496 0.536

***

Sr2CaTi6N2O11 | the Alexandria database | PBE | relaxed; energy relative to the elements, uncorrected = -2.68 eV per atom; magnetization = 0.00 μB/f.u.; ΔE to the lowest computed polymorph = 0.041 eV/atom; calculated volume = 13.935 Å³ per atom; DFT total energy = -182.8 eV for the cell shown
1.0
1.763 8.129 0.261
-1.763 8.129 0.261
0.000 1.878 10.757
Sr N O Ti Ca
2 2 11 6 1
direct
0.508 0.508 0.167
0.489 0.489 0.639
0.896 0.896 0.801
0.243 0.243 0.784
0.923 0.923 0.291
0.729 0.729 0.307
0.719 0.719 0.588
0.138 0.138 0.200
0.003 0.003 0.999
0.078 0.078 0.739
0.102 0.102 0.488
0.635 0.635 0.957
0.345 0.345 0.032
0.289 0.289 0.430
0.887 0.887 0.559
0.897 0.897 0.964
0.837 0.837 0.420
0.185 0.185 0.625
0.182 0.182 0.349
0.123 0.123 0.885
0.799 0.799 0.723
0.720 0.720 0.100

***

Sr2CaTi6N2O11 | the Alexandria database | PBE | relaxed; energy relative to the elements, uncorrected = -2.72 eV per atom; magnetization = 0.00 μB/f.u.; ΔE to the lowest computed polymorph = 0.000 eV/atom; calculated volume = 12.695 Å³ per atom; DFT total energy = -183.7 eV for the cell shown
1.0
-1.105 2.341 2.930
-2.257 -6.460 2.780
9.744 0.250 2.602
Sr O Ti N Ca
2 11 6 2 1
direct
0.484 0.949 0.164
0.439 0.058 0.815
0.370 0.737 0.882
0.714 0.382 0.424
0.143 0.343 0.887
0.990 0.006 0.990
0.853 0.903 0.670
0.280 0.595 0.563
0.791 0.540 0.740
0.269 0.237 0.618
0.773 0.749 0.397
0.610 0.269 0.086
0.097 0.103 0.327
0.796 0.667 0.563
0.104 0.289 0.056
0.740 0.540 0.229
0.873 0.729 0.925
0.211 0.360 0.396
0.265 0.470 0.736
0.211 0.464 0.239
0.843 0.679 0.095
0.740 0.070 0.504

***

Ca2TaNO | the Alexandria database | PBE | relaxed; energy relative to the elements, uncorrected = 0.28 eV per atom; magnetization = 0.88 μB/f.u.; calculated volume = 24.986 Å³ per atom; DFT total energy = -27.7 eV for the cell shown
1.0
-2.955 2.894 -3.854
2.134 -1.615 -2.849
-3.701 -4.258 -0.359
Ca N Ta O
2 1 1 1
direct
0.500 0.000 0.000
0.000 0.000 0.500
0.000 0.500 0.000
0.000 0.000 0.000
0.500 0.500 0.500

***

Ca16Zr9Ta7N7O41 | the Alexandria database | PBE | relaxed; energy relative to the elements, uncorrected = -2.84 eV per atom; magnetization = 0.00 μB/f.u.; calculated volume = 13.059 Å³ per atom; DFT total energy = -680.6 eV for the cell shown
1.0
-4.036 3.188 2.246
-3.625 -4.476 -0.127
9.621 -8.647 29.604
Ta O Ca N Zr
7 41 16 7 9
direct
0.502 0.997 0.998
0.515 0.007 0.875
0.492 0.004 0.380
0.494 0.007 0.499
0.508 0.986 0.626
0.496 0.000 0.749
0.501 0.003 0.251
0.404 0.031 0.689
0.581 0.980 0.563
0.325 0.305 0.510
0.690 0.715 0.737
0.696 0.703 0.139
0.692 0.714 0.237
0.321 0.312 0.113
0.210 0.810 0.762
0.796 0.190 0.237
0.319 0.295 0.262
0.796 0.192 0.488
0.306 0.284 0.863
0.688 0.707 0.985
0.801 0.182 0.386
0.216 0.807 0.363
0.102 0.540 0.937
0.096 0.544 0.438
0.586 0.967 0.812
0.404 0.037 0.190
0.320 0.294 0.364
0.107 0.545 0.188
0.809 0.194 0.140
0.204 0.804 0.863
0.204 0.818 0.614
0.790 0.195 0.639
0.208 0.818 0.512
0.692 0.710 0.387
0.211 0.812 0.262
0.314 0.289 0.762
0.695 0.719 0.488
0.317 0.301 0.616
0.793 0.184 0.986
0.788 0.190 0.736
0.196 0.813 0.112
0.213 0.805 0.011
0.407 0.027 0.937
0.594 0.965 0.059
0.314 0.285 0.010
0.591 0.970 0.310
0.682 0.704 0.887
0.105 0.543 0.688
0.007 0.038 0.061
0.495 0.541 0.566
0.504 0.456 0.186
0.991 0.944 0.187
0.501 0.452 0.935
0.494 0.472 0.439
0.008 0.036 0.815
0.985 0.943 0.686
0.001 0.037 0.313
0.488 0.545 0.062
0.999 0.036 0.565
0.492 0.552 0.313
0.485 0.545 0.814
0.982 0.943 0.439
0.997 0.942 0.934
0.501 0.451 0.685
0.902 0.460 0.061
0.413 0.027 0.438
0.909 0.461 0.563
0.899 0.469 0.812
0.907 0.469 0.312
0.692 0.715 0.638
0.789 0.187 0.887
0.995 0.495 0.373
0.993 0.495 0.752
0.997 0.498 0.625
0.994 0.495 0.000
0.996 0.498 0.503
0.502 0.003 0.125
0.993 0.495 0.873
0.997 0.498 0.123
0.998 0.497 0.251

***

CaTeNO2 | the Alexandria database | PBE | relaxed; energy relative to the elements, uncorrected = -0.89 eV per atom; magnetization = 0.00 μB/f.u.; calculated volume = 13.946 Å³ per atom; DFT total energy = -27.9 eV for the cell shown
1.0
4.129 0.000 0.000
0.000 4.129 0.000
0.000 0.000 4.090
O Ca Te N
2 1 1 1
direct
0.000 0.500 0.000
0.500 0.000 0.000
0.500 0.500 0.500
0.000 0.000 0.000
0.000 0.000 0.500

***

CaTe2NO | the Alexandria database | PBE | relaxed; energy relative to the elements, uncorrected = 0.36 eV per atom; magnetization = 1.76 μB/f.u.; ΔE to the lowest computed polymorph = 0.000 eV/atom; calculated volume = 20.364 Å³ per atom; DFT total energy = -19.8 eV for the cell shown
1.0
4.669 0.000 0.000
0.000 4.669 0.000
0.000 0.000 4.670
N Te O Ca
1 2 1 1
direct
0.000 0.000 0.500
0.000 0.500 0.000
0.500 0.000 0.000
0.000 0.000 0.000
0.500 0.500 0.500

***

CaTe2NO | the Alexandria database | PBE | relaxed; energy relative to the elements, uncorrected = 1.22 eV per atom; magnetization = 4.37 μB/f.u.; ΔE to the lowest computed polymorph = 0.864 eV/atom; calculated volume = 32.355 Å³ per atom; DFT total energy = -15.5 eV for the cell shown
1.0
-0.568 -2.468 5.430
3.044 -4.811 -1.868
3.858 1.941 1.286
Te O N Ca
2 1 1 1
direct
0.000 0.500 0.000
0.500 0.000 0.000
0.500 0.500 0.500
0.000 0.000 0.500
0.000 0.000 0.000

***

CaTeNO2 | the Alexandria database | PBE | relaxed; energy relative to the elements, uncorrected = 0.39 eV per atom; magnetization = 1.57 μB/f.u.; calculated volume = 16.353 Å³ per atom; DFT total energy = -21.5 eV for the cell shown
1.0
4.274 0.000 0.000
0.000 4.274 0.000
0.000 0.000 4.477
O Te Ca N
2 1 1 1
direct
0.500 0.000 0.000
0.000 0.500 0.000
0.500 0.500 0.500
0.000 0.000 0.000
0.000 0.000 0.500

***

CaTiNO2 | the Alexandria database | PBE | relaxed; energy relative to the elements, uncorrected = -2.08 eV per atom; magnetization = 0.20 μB/f.u.; calculated volume = 12.085 Å³ per atom; DFT total energy = -38.5 eV for the cell shown
1.0
3.908 0.000 0.000
0.000 3.908 0.000
0.000 0.000 3.956
O N Ca Ti
2 1 1 1
direct
0.000 0.500 0.000
0.500 0.000 0.000
0.000 0.000 0.500
0.500 0.500 0.500
0.000 0.000 0.000